# CrMoI2O PBE with a Hubbard U relaxed
# energy relative to the lowest polymorph listed for this composition = 5 meV/atom
data_CrMoI2O
_symmetry_space_group_name_H-M 'P 1'
_symmetry_Int_Tables_number 1
_symmetry_space_group_name_Hall 'P 1'
_cell_length_a 5.7867
_cell_length_b 5.7867
_cell_length_c 3.8699
_cell_angle_alpha 90.00
_cell_angle_beta 90.00
_cell_angle_gamma 90.00
loop_
_atom_site_label
_atom_site_type_symbol
_atom_site_fract_x
_atom_site_fract_y
_atom_site_fract_z
Cr1 Cr 0.0000 0.0000 0.0000
Mo1 Mo 0.5000 0.5000 0.5000
I1 I 0.0000 0.5000 0.5000
I2 I 0.5000 0.0000 0.5000
O1 O 0.5000 0.5000 0.0000